The following is a DFT calculation (GGA-PBE) of a geometry-optimized HgPtSeO structure.

Output
Symmetry: P2_12_12_1 (19)

a = 5.605 Å, b = 6.094 Å, c = 9.695 Å
α = 90.00°, β = 90.00°, γ = 90.00°
Sites, in units of the cell vectors:
1 Hg 0.001 0.020 0.254
2 Hg 0.499 0.980 0.754
3 Hg 0.501 0.480 0.746
4 Hg 0.999 0.520 0.246
5 Pt 0.001 0.495 0.748
6 Pt 0.499 0.505 0.248
7 Pt 0.501 0.005 0.252
8 Pt 0.999 0.995 0.752
9 Se 0.001 0.748 0.557
10 Se 0.499 0.252 0.057
11 Se 0.501 0.752 0.443
12 Se 0.999 0.248 0.943
13 O 0.010 0.776 0.110
14 O 0.490 0.224 0.610
15 O 0.510 0.724 0.890
16 O 0.990 0.276 0.390

The following is a DFT calculation (GGA-PBE) of a geometry-optimized HgTePtO structure.

Output
Symmetry: P4/nmm (129)

a = 4.051 Å, b = 4.051 Å, c = 9.053 Å
α = 90.00°, β = 90.00°, γ = 90.00°
Sites, in units of the cell vectors:
1 Hg 0.250 0.750 0.000
2 Hg 0.750 0.250 0.000
3 Te 0.250 0.250 0.317
4 Te 0.750 0.750 0.683
5 Pt 0.250 0.250 0.762
6 Pt 0.750 0.750 0.238
7 O 0.250 0.250 0.525
8 O 0.750 0.750 0.475

The following is a DFT calculation (GGA-PBE) of a geometry-optimized HgTePtO structure.

Output
Symmetry: P4/nmm (129)

a = 4.303 Å, b = 4.303 Å, c = 8.773 Å
α = 90.00°, β = 90.00°, γ = 90.00°
Sites, in units of the cell vectors:
1 Hg 0.250 0.250 0.195
2 Hg 0.750 0.750 0.805
3 Te 0.250 0.250 0.835
4 Te 0.750 0.750 0.165
5 Pt 0.250 0.250 0.532
6 Pt 0.750 0.750 0.468
7 O 0.250 0.750 0.500
8 O 0.750 0.250 0.500

no.,E above lowest polymorph (meV/atom),total magnetic moment (Bohr magnetons per cell)
1,221,0.01
2,136,0.00
3,261,0.01